Record 1
Density functional theory data (GGA-PBE) for crystalline TbHfPt at its relaxed geometry.

Computed properties:
- E_form (eV per atom) = -0.58
- total magnetization (μB per cell) = 0.0

The structure in POSCAR format:
```
TbHfPt
1.0
0.000 3.328 3.328
3.328 0.000 3.328
3.328 3.328 0.000
Tb Hf Pt
1 1 1
Cartesian
0.000 0.000 0.000 Tb
3.328 3.328 3.328 Hf
4.992 4.992 4.992 Pt
```

Record 2
Density functional theory data (GGA-PBE) for crystalline Lu6GaNi2 at its relaxed geometry.

Computed properties:
- calculated total energy (eV per atom) = -5.00
- total magnetization (μB per cell) = 0.0

The structure in POSCAR format:
```
Lu6GaNi2
1.0
-4.544 4.655 4.858
4.544 -4.655 4.858
4.544 4.655 -4.858
Lu Ga Ni
12 2 4
Cartesian
4.544 2.809 -2.553 Lu
2.571 1.684 0.000 Lu
6.516 1.684 0.000 Lu
1.789 4.655 -1.686 Lu
2.755 0.000 3.172 Lu
0.000 1.845 2.305 Lu
4.544 2.809 2.553 Lu
1.789 4.655 1.686 Lu
2.755 0.000 6.544 Lu
-1.973 2.970 4.858 Lu
1.973 2.970 4.858 Lu
0.000 1.845 7.411 Lu
0.000 0.000 0.000 Ga
0.000 0.000 4.858 Ga
4.544 0.000 1.201 Ni
0.000 3.257 0.000 Ni
0.000 6.053 0.000 Ni
0.000 4.655 3.657 Ni
```

Record 3
Density functional theory data (GGA-PBE) for crystalline PrSiGe at its relaxed geometry.

Computed properties:
- E above lowest polymorph (eV per atom) = 0.499
- total magnetization (μB per cell) = 0.0

The structure in POSCAR format:
```
PrSiGe
1.0
0.000 3.356 3.356
3.356 0.000 3.356
3.356 3.356 0.000
Pr Si Ge
1 1 1
Cartesian
0.000 0.000 0.000 Pr
5.034 5.034 5.034 Si
3.356 3.356 3.356 Ge
```